Compound: Nd6AlTc2Br3
Source: Alexandria via LeMat-Bulk
Functional: PBE-GGA
Structure: optimized geometry

The value obtained for the calculated total energy is -5.537 eV/atom. The density of states at the Fermi level is 9.5 states/eV/f.u. The total magnetic moment comes out at 0.0 μB/f.u. Its uncorrected formation energy is -0.696 eV/atom. As for the crystal system: monoclinic.

The structure belongs to space group C2/m (No. 12); the cell edges are 17.717, 4.075 and 9.294 Å and the angles 90.00°, 94.24° and 90.00°. Symmetry generates all atoms from Nd at (0.029, 0.000, 0.252), Nd at (0.147, 0.500, 0.765), Nd at (0.187, 0.500, 0.390), Al at (0.000, 0.500, 0.500), Tc at (0.096, 0.000, 0.552), Br at (0.000, 0.500, 0.000) and Br at (0.183, 0.000, 0.107).